{
  "formula": "Ta5Ni",
  "functional": "GGA-PBE",
  "state": "optimized geometry",
  "n_ef_per_ev_cell": 6.81,
  "e_tot_ev_per_atom": -10.81,
  "sg": "P4/mmm, No. 123",
  "formation_energy_ev_per_atom": 0.03,
  "cell": [[2.8002, 0.0000, 0.0000], [0.0000, 2.8002, 0.0000], [0.0000, 0.0000, 13.1869]],
  "species": ["Ta", "Ta", "Ta", "Ta", "Ta", "Ni"],
  "fractional_positions": [[0.0000, 0.0000, 0.0000], [0.0000, 0.0000, 0.6399], [0.5000, 0.5000, 0.1819], [0.0000, 0.0000, 0.3601], [0.5000, 0.5000, 0.8181], [0.5000, 0.5000, 0.5000]]
}